# 1
A relaxed structure of Na6Hg2Au, computed with GGA-PBE.

Lattice parameters (Å, degrees): 16.050 7.328 5.065 90.00 108.18 90.00
Space group C2/m (No. 12)
Inequivalent atoms, fractional coordinates:
Na 0.000 0.233 0.000
Na 0.161 0.241 0.660
Hg 0.165 0.500 0.163
Au 0.000 0.000 0.500

E, eV/atom: -1.4577
Crystal system: monoclinic
Spin magnetization, μB per cell: 0.00
Energy above the lowest structure with this stoichiometry, eV per formula unit: 0.399



# 2
A relaxed structure of Na6HgAu, computed with GGA-PBE.

Lattice parameters (Å, degrees): 5.096 9.101 9.762 90.00 90.00 90.00
Space group Amm2 (No. 38)
Inequivalent atoms, fractional coordinates:
Na 0.000 0.000 0.000
Na 0.000 0.183 0.281
Na 0.500 0.000 0.807
Na 0.500 0.199 0.519
Hg 0.000 0.000 0.610
Au 0.500 0.000 0.174

E, eV/atom: -1.5902
Crystal system: orthorhombic
Spin magnetization, μB per cell: 0.00
Energy above the lowest structure with this stoichiometry, eV per formula unit: 0.000



# 3
A relaxed structure of Na6Hg12Au, computed with GGA-PBE.

Lattice parameters (Å, degrees): 11.5721 11.5721 12.7290 90.00 90.00 120.00
Space group R-3 (No. 148, hexagonal axes)
Inequivalent atoms, fractional coordinates:
Na 0.0226 0.5953 0.2182
Hg 0.0428 0.8556 0.3237
Hg 0.0544 0.1914 0.9001
Au 0.0000 0.0000 0.5000

E, eV/atom: -0.9769
Crystal system: trigonal
Spin magnetization, μB per cell: 0.00



Question: Among the records above, which one has the highest E?
Answer: Na6Hg12Au



Repeat the first record exactly.
A relaxed structure of Na6Hg2Au, computed with GGA-PBE.

Lattice parameters (Å, degrees): 16.050 7.328 5.065 90.00 108.18 90.00
Space group C2/m (No. 12)
Inequivalent atoms, fractional coordinates:
Na 0.000 0.233 0.000
Na 0.161 0.241 0.660
Hg 0.165 0.500 0.163
Au 0.000 0.000 0.500

E, eV/atom: -1.4577
Crystal system: monoclinic
Spin magnetization, μB per cell: 0.00
Energy above the lowest structure with this stoichiometry, eV per formula unit: 0.399